1.
Material: YZn3P
Method: DFT, meta-GGA SCAN
State: single point on PBEsol structure

Cell and atoms, written as CIF:
```
data_YZn3P
_cell_length_a 5.260
_cell_length_b 5.260
_cell_length_c 5.260
_cell_angle_alpha 90.00
_cell_angle_beta 90.00
_cell_angle_gamma 90.00
_space_group_name_H-M_alt 'P m -3 m'
_space_group_IT_number 221
_space_group_name_Hall '-P 4 2 3'
loop_
_atom_site_label
_atom_site_fract_x
_atom_site_fract_y
_atom_site_fract_z
Y1 0.000 0.000 0.000
Zn1 0.000 0.000 0.500
P1 0.500 0.500 0.500
```

Output
- formation energy from the elements (meV per atom) = 1387
- uncorrected energy (eV per atom) = -14.37



2.
Material: YZrP2
Method: DFT, meta-GGA SCAN
State: single point on PBEsol structure

Cell and atoms, written as CIF:
```
data_YZrP2
_cell_length_a 3.822
_cell_length_b 3.822
_cell_length_c 5.382
_cell_angle_alpha 90.00
_cell_angle_beta 90.00
_cell_angle_gamma 90.00
_space_group_name_H-M_alt 'P 4/m m m'
_space_group_IT_number 123
_space_group_name_Hall '-P 4 2'
loop_
_atom_site_label
_atom_site_fract_x
_atom_site_fract_y
_atom_site_fract_z
Y1 0.000 0.000 0.000
Zr1 0.500 0.500 0.500
P1 0.000 0.000 0.500
P2 0.500 0.500 0.000
```

Output
- formation energy from the elements (meV per atom) = -1630
- uncorrected energy (eV per atom) = -21.46



3.
Material: YZrP2
Method: DFT, meta-GGA SCAN
State: single point on PBEsol structure

Cell and atoms, written as CIF:
```
data_YZrP2
_cell_length_a 3.8017
_cell_length_b 3.8017
_cell_length_c 18.8652
_cell_angle_alpha 90.00
_cell_angle_beta 90.00
_cell_angle_gamma 120.00
_space_group_name_H-M_alt 'R -3 m'
_space_group_IT_number 166
_space_group_name_Hall '-R 3 2"'
loop_
_atom_site_label
_atom_site_fract_x
_atom_site_fract_y
_atom_site_fract_z
Y1 0.0000 0.0000 0.0000
Zr1 0.0000 0.0000 0.5000
P1 0.0000 0.0000 0.2452
```

Output
- formation energy from the elements (meV per atom) = -1682
- uncorrected energy (eV per atom) = -21.52



4.
Material: Zn2P
Method: DFT, meta-GGA SCAN
State: single point on PBEsol structure

Cell and atoms, written as CIF:
```
data_Zn2P
_cell_length_a 4.5255
_cell_length_b 4.5255
_cell_length_c 5.0630
_cell_angle_alpha 90.00
_cell_angle_beta 90.00
_cell_angle_gamma 120.00
_space_group_name_H-M_alt 'P 63/m m c'
_space_group_IT_number 194
_space_group_name_Hall '-P 6c 2c'
loop_
_atom_site_label
_atom_site_fract_x
_atom_site_fract_y
_atom_site_fract_z
Zn1 0.0000 0.0000 0.0000
Zn2 0.3333 0.6667 0.2500
P1 0.3333 0.6667 0.7500
```

Output
- formation energy from the elements (meV per atom) = 248
- uncorrected energy (eV per atom) = -12.23



5.
Material: Zn3P2
Method: DFT, meta-GGA SCAN
State: single point on PBEsol structure

Cell and atoms, written as CIF:
```
data_Zn3P2
_cell_length_a 7.974
_cell_length_b 7.974
_cell_length_c 11.233
_cell_angle_alpha 90.00
_cell_angle_beta 90.00
_cell_angle_gamma 90.00
_space_group_name_H-M_alt 'P 42/n m c'
_space_group_IT_number 137
loop_
_space_group_symop_operation_xyz
'x,y,z'
'-x,-y,-z'
'-y+1/2,x,z+1/2'
'y+1/2,-x,-z+1/2'
'-x+1/2,-y+1/2,z'
'x+1/2,y+1/2,-z'
'y,-x+1/2,z+1/2'
'-y,x+1/2,-z+1/2'
'x+1/2,-y,-z'
'-x+1/2,y,z'
'-y,-x,-z+1/2'
'y,x,z+1/2'
'-x,y+1/2,-z'
'x,-y+1/2,z'
'y+1/2,x+1/2,-z+1/2'
'-y+1/2,-x+1/2,z+1/2'
loop_
_atom_site_label
_atom_site_fract_x
_atom_site_fract_y
_atom_site_fract_z
Zn1 0.003 0.750 0.106
Zn2 0.028 0.250 0.634
Zn3 0.028 0.750 0.640
P1 0.002 0.502 0.250
P2 0.250 0.250 0.496
P3 0.250 0.750 0.502
```

Output
- formation energy from the elements (meV per atom) = -227
- uncorrected energy (eV per atom) = -12.50



6.
Material: ZnP3
Method: DFT, meta-GGA SCAN
State: single point on PBEsol structure

Cell and atoms, written as CIF:
```
data_ZnP3
_cell_length_a 4.194
_cell_length_b 7.204
_cell_length_c 4.798
_cell_angle_alpha 90.00
_cell_angle_beta 90.00
_cell_angle_gamma 90.00
_space_group_name_H-M_alt 'P m m n'
_space_group_IT_number 59
loop_
_space_group_symop_operation_xyz
'x,y,z'
'-x,-y,-z'
'-x+1/2,-y+1/2,z'
'x+1/2,y+1/2,-z'
'x+1/2,-y,-z'
'-x+1/2,y,z'
'-x,y+1/2,-z'
'x,-y+1/2,z'
loop_
_atom_site_label
_atom_site_fract_x
_atom_site_fract_y
_atom_site_fract_z
Zn1 0.250 0.250 0.078
P1 0.250 0.004 0.405
P2 0.250 0.750 0.153
```

Output
- formation energy from the elements (meV per atom) = -159
- uncorrected energy (eV per atom) = -11.34



7.
Material: ZnP2
Method: DFT, meta-GGA SCAN
State: single point on PBEsol structure

Cell and atoms, written as CIF:
```
data_ZnP2
_cell_length_a 8.763
_cell_length_b 7.220
_cell_length_c 7.493
_cell_angle_alpha 90.00
_cell_angle_beta 102.36
_cell_angle_gamma 90.00
_space_group_name_H-M_alt 'P 1 21/c 1'
_space_group_IT_number 14
loop_
_space_group_symop_operation_xyz
'x,y,z'
'-x,-y,-z'
'-x,y+1/2,-z+1/2'
'x,-y+1/2,z+1/2'
loop_
_atom_site_label
_atom_site_fract_x
_atom_site_fract_y
_atom_site_fract_z
Zn1 0.082 0.247 0.395
Zn2 0.392 0.596 0.224
P1 0.076 0.744 0.895
P2 0.235 0.519 0.439
P3 0.242 0.515 0.929
P4 0.376 0.574 0.717
```

Output
- formation energy from the elements (meV per atom) = -310
- uncorrected energy (eV per atom) = -11.75



8.
Material: Zn3P2
Method: DFT, meta-GGA SCAN
State: single point on PBEsol structure

Cell and atoms, written as CIF:
```
data_Zn3P2
_cell_length_a 11.268
_cell_length_b 11.268
_cell_length_c 11.268
_cell_angle_alpha 90.00
_cell_angle_beta 90.00
_cell_angle_gamma 90.00
_space_group_name_H-M_alt 'I a -3'
_space_group_IT_number 206
_space_group_name_Hall '-I 2b 2c 3'
loop_
_atom_site_label
_atom_site_fract_x
_atom_site_fract_y
_atom_site_fract_z
Zn1 0.110 0.142 0.620
P1 0.000 0.000 0.000
P2 0.000 0.250 0.259
```

Output
- formation energy from the elements (meV per atom) = -201
- uncorrected energy (eV per atom) = -12.47